The following is a DFT calculation (PBE-GGA) of a relaxed structure of Mg2AlZn.

## Properties
E_form in eV/f.u.: 0.1
Calculated density in g cm⁻³: 3.06
Symmetry: Cm

Cell: 3.049 3.049 9.494 Å, 98.72 98.72 61.73°
Positions (direct):
Mg 0.000 0.000 0.000
Mg 0.164 0.164 0.511
Al 0.420 0.420 0.256
Zn 0.584 0.584 0.756